Here is a geometry-optimized K6Tl2Cd structure from the Alexandria database. Energies are from PBE.

Computed properties:
DOS at the Fermi energy ... 17.83 states/eV/cell
Raw total energy ... -1.405 eV per atom

Structure (CIF):
```
data_K6Tl2Cd
_cell_length_a 11.184
_cell_length_b 6.380
_cell_length_c 12.289
_cell_angle_alpha 90.00
_cell_angle_beta 107.27
_cell_angle_gamma 90.00
_space_group_name_H-M_alt 'C 1 2/m 1'
_space_group_IT_number 12
_space_group_name_Hall '-C 2y'
loop_
_atom_site_label
_atom_site_type_symbol
_atom_site_fract_x
_atom_site_fract_y
_atom_site_fract_z
K1 K 0.073 0.000 0.230
K2 K 0.188 0.500 0.068
K3 K 0.197 0.000 0.588
Tl1 Tl 0.089 0.500 0.751
Cd1 Cd 0.000 0.500 0.500
```